(1)
# Pt2Rh | Alexandria via LeMat-Bulk | meta-GGA SCAN | single point on PBEsol structure
# Uncorrected energy (eV per atom): -58.066
# Crystal system: orthorhombic
# ΔE_f (eV per formula unit): -0.039
data_Pt2Rh
_chemical_formula_sum 'Pt4 Rh2'
_cell_length_a 2.7376
_cell_length_b 3.8637
_cell_length_c 8.2002
_cell_angle_alpha 90.00
_cell_angle_beta 90.00
_cell_angle_gamma 90.00
_space_group_name_H-M_alt 'I m m m'
_space_group_IT_number 71
_space_group_name_Hall '-I 2 2'
loop_
_atom_site_label
_atom_site_type_symbol
_atom_site_fract_x
_atom_site_fract_y
_atom_site_fract_z
_atom_site_occupancy
Pt1 Pt 0.0000 0.0000 0.1653 1
Rh1 Rh 0.0000 0.0000 0.5000 1

---

(2)
# ScHOs2Au | Alexandria via LeMat-Bulk | meta-GGA SCAN | single point on PBEsol structure
# Uncorrected energy (eV per atom): -46.117
# Crystal system: tetragonal
data_ScHOs2Au
_chemical_formula_sum 'Sc1 H1 Os2 Au1'
_cell_length_a 3.9641
_cell_length_b 3.9641
_cell_length_c 4.0808
_cell_angle_alpha 90.00
_cell_angle_beta 90.00
_cell_angle_gamma 90.00
_space_group_name_H-M_alt 'P 4/m m m'
_space_group_IT_number 123
_space_group_name_Hall '-P 4 2'
loop_
_atom_site_label
_atom_site_type_symbol
_atom_site_fract_x
_atom_site_fract_y
_atom_site_fract_z
_atom_site_occupancy
Sc1 Sc 0.0000 0.0000 0.0000 1
H1 H 0.5000 0.5000 0.5000 1
Os1 Os 0.0000 0.5000 0.5000 1
Au1 Au 0.5000 0.5000 0.0000 1

---

(3)
# Li2SnGe | Alexandria via LeMat-Bulk | meta-GGA SCAN | single point on PBEsol structure
# Uncorrected energy (eV per atom): -15.234
# Crystal system: cubic
# ΔE_f (eV per formula unit): -1.150
data_Li2SnGe
_chemical_formula_sum 'Li8 Sn4 Ge4'
_cell_length_a 6.5309
_cell_length_b 6.5309
_cell_length_c 6.5309
_cell_angle_alpha 90.00
_cell_angle_beta 90.00
_cell_angle_gamma 90.00
_space_group_name_H-M_alt 'F m -3 m'
_space_group_IT_number 225
_space_group_name_Hall '-F 4 2 3'
loop_
_atom_site_label
_atom_site_type_symbol
_atom_site_fract_x
_atom_site_fract_y
_atom_site_fract_z
_atom_site_occupancy
Li1 Li 0.2500 0.2500 0.2500 1
Sn1 Sn 0.0000 0.0000 0.0000 1
Ge1 Ge 0.0000 0.0000 0.5000 1

---

(4)
# LiAuS4O14 | Alexandria via LeMat-Bulk | meta-GGA SCAN | single point on PBEsol structure
# Uncorrected energy (eV per atom): -11.207
# Crystal system: triclinic
# Formation energy without anion corrections (kJ/mol of formula units): -2590
data_LiAuS4O14
_chemical_formula_sum 'Li1 Au1 S4 O14'
_cell_length_a 5.3878
_cell_length_b 6.5913
_cell_length_c 8.5701
_cell_angle_alpha 107.19
_cell_angle_beta 92.19
_cell_angle_gamma 102.11
_space_group_name_H-M_alt 'P -1'
_space_group_IT_number 2
_space_group_name_Hall '-P 1'
loop_
_atom_site_label
_atom_site_type_symbol
_atom_site_fract_x
_atom_site_fract_y
_atom_site_fract_z
_atom_site_occupancy
Li1 Li 0.0000 0.0000 0.0000 1
Au1 Au 0.0000 0.5000 0.5000 1
S1 S 0.1535 0.3054 0.7569 1
S2 S 0.4342 0.7387 0.7752 1
O1 O 0.0514 0.5934 0.2994 1
O2 O 0.0799 0.2572 0.9027 1
O3 O 0.2361 0.1519 0.6271 1
O4 O 0.2653 0.8603 0.8630 1
O5 O 0.2970 0.1702 0.1999 1
O6 O 0.3580 0.6589 0.5890 1
O7 O 0.4047 0.5172 0.8253 1

---

(5)
# Rb3AlAg | Alexandria via LeMat-Bulk | meta-GGA SCAN | single point on PBEsol structure
# Uncorrected energy (eV per atom): -19.799
# Crystal system: cubic
# ΔE_f (eV per formula unit): 2.344
data_Rb3AlAg
_chemical_formula_sum 'Rb3 Al1 Ag1'
_cell_length_a 6.4865
_cell_length_b 6.4865
_cell_length_c 6.4865
_cell_angle_alpha 90.00
_cell_angle_beta 90.00
_cell_angle_gamma 90.00
_space_group_name_H-M_alt 'P m -3 m'
_space_group_IT_number 221
_space_group_name_Hall '-P 4 2 3'
loop_
_atom_site_label
_atom_site_type_symbol
_atom_site_fract_x
_atom_site_fract_y
_atom_site_fract_z
_atom_site_occupancy
Rb1 Rb 0.0000 0.0000 0.5000 1
Al1 Al 0.5000 0.5000 0.5000 1
Ag1 Ag 0.0000 0.0000 0.0000 1

---

(6)
# Y2Zn2Ag | Alexandria via LeMat-Bulk | meta-GGA SCAN | single point on PBEsol structure
# Uncorrected energy (eV per atom): -23.199
# Crystal system: tetragonal
# ΔE_f (eV per formula unit): -1.913
data_Y2Zn2Ag
_chemical_formula_sum 'Y4 Zn4 Ag2'
_cell_length_a 7.0591
_cell_length_b 7.0591
_cell_length_c 4.2122
_cell_angle_alpha 90.00
_cell_angle_beta 90.00
_cell_angle_gamma 90.00
_space_group_name_H-M_alt 'P 4/m b m'
_space_group_IT_number 127
_space_group_name_Hall '-P 4 2ab'
loop_
_atom_site_label
_atom_site_type_symbol
_atom_site_fract_x
_atom_site_fract_y
_atom_site_fract_z
_atom_site_occupancy
Y1 Y 0.1721 0.3279 0.0000 1
Zn1 Zn 0.1266 0.6266 0.5000 1
Ag1 Ag 0.0000 0.0000 0.5000 1

---

(7)
# Dy2SnAu2 | Alexandria via LeMat-Bulk | meta-GGA SCAN | single point on PBEsol structure
# Uncorrected energy (eV per atom): -55.035
# Crystal system: tetragonal
# ΔE_f (eV per formula unit): -5.347
data_Dy2SnAu2
_chemical_formula_sum 'Dy8 Sn4 Au8'
_cell_length_a 7.7764
_cell_length_b 7.7764
_cell_length_c 7.3822
_cell_angle_alpha 90.00
_cell_angle_beta 90.00
_cell_angle_gamma 90.00
_space_group_name_H-M_alt 'P 42/m n m'
_space_group_IT_number 136
_space_group_name_Hall '-P 4n 2n'
loop_
_atom_site_label
_atom_site_type_symbol
_atom_site_fract_x
_atom_site_fract_y
_atom_site_fract_z
_atom_site_occupancy
Dy1 Dy 0.1565 0.1565 0.0000 1
Dy2 Dy 0.1857 0.1857 0.5000 1
Sn1 Sn 0.0000 0.5000 0.2500 1
Au1 Au 0.1274 0.8726 0.2808 1

---

(8)
# Ba5Ag4 | Alexandria via LeMat-Bulk | meta-GGA SCAN | single point on PBEsol structure
# Uncorrected energy (eV per atom): -36.077
# Crystal system: hexagonal
# ΔE_f (eV per formula unit): -1.478
data_Ba5Ag4
_chemical_formula_sum 'Ba10 Ag8'
_cell_length_a 10.0089
_cell_length_b 10.0089
_cell_length_c 7.4530
_cell_angle_alpha 90.00
_cell_angle_beta 90.00
_cell_angle_gamma 120.00
_space_group_name_H-M_alt 'P 63/m c m'
_space_group_IT_number 193
_space_group_name_Hall '-P 6c 2'
loop_
_atom_site_label
_atom_site_type_symbol
_atom_site_fract_x
_atom_site_fract_y
_atom_site_fract_z
_atom_site_occupancy
Ba1 Ba 0.0000 0.2681 0.2500 1
Ba2 Ba 0.3333 0.6667 0.0000 1
Ag1 Ag 0.0000 0.0000 0.0000 1
Ag2 Ag 0.0000 0.3924 0.7500 1

---

- Which value of uncorrected energy does entry 8 give?
  -36.077 eV per atom

---

Copy entry 4 word for word.
# LiAuS4O14 | Alexandria via LeMat-Bulk | meta-GGA SCAN | single point on PBEsol structure
# Uncorrected energy (eV per atom): -11.207
# Crystal system: triclinic
# Formation energy without anion corrections (kJ/mol of formula units): -2590
data_LiAuS4O14
_chemical_formula_sum 'Li1 Au1 S4 O14'
_cell_length_a 5.3878
_cell_length_b 6.5913
_cell_length_c 8.5701
_cell_angle_alpha 107.19
_cell_angle_beta 92.19
_cell_angle_gamma 102.11
_space_group_name_H-M_alt 'P -1'
_space_group_IT_number 2
_space_group_name_Hall '-P 1'
loop_
_atom_site_label
_atom_site_type_symbol
_atom_site_fract_x
_atom_site_fract_y
_atom_site_fract_z
_atom_site_occupancy
Li1 Li 0.0000 0.0000 0.0000 1
Au1 Au 0.0000 0.5000 0.5000 1
S1 S 0.1535 0.3054 0.7569 1
S2 S 0.4342 0.7387 0.7752 1
O1 O 0.0514 0.5934 0.2994 1
O2 O 0.0799 0.2572 0.9027 1
O3 O 0.2361 0.1519 0.6271 1
O4 O 0.2653 0.8603 0.8630 1
O5 O 0.2970 0.1702 0.1999 1
O6 O 0.3580 0.6589 0.5890 1
O7 O 0.4047 0.5172 0.8253 1

---

- uncorrected energy of number 1 (Pt2Rh)?
  -58.066 eV per atom